(1)
VASP calculation (PBE) on crystalline Ni2PbSe at its relaxed geometry.

Geometry as POSCAR:
```
Ni2PbSe
1.0
7.140 0.052 0.107
-2.782 3.473 -0.091
1.576 1.322 2.702
Ni Pb Se
2 1 1
direct
0.000 0.000 0.000
0.500 0.000 0.500
0.000 0.500 0.500
0.500 0.500 0.000
```

- Raw total energy: -4.4239 eV/atom
- Excess energy over the best structure of this formula in the dataset: 0.300 eV/atom

***

(2)
VASP calculation (PBE) on crystalline Ni2PbSe at its relaxed geometry.

Geometry as POSCAR:
```
Ni2PbSe
1.0
-0.012 2.234 -3.083
-1.827 -3.859 -2.790
-3.737 1.153 0.850
Ni Pb Se
2 1 1
direct
0.000 0.009 0.751
0.000 0.491 0.749
0.500 0.250 0.250
0.500 0.750 0.750
```

- Raw total energy: -4.6077 eV/atom
- Excess energy over the best structure of this formula in the dataset: 0.117 eV/atom

***

(3)
VASP calculation (PBE) on crystalline Ni2PbSe at its relaxed geometry.

Geometry as POSCAR:
```
Ni2PbSe
1.0
5.756 -0.003 -0.002
4.372 3.744 -0.002
4.372 1.615 3.377
Ni Pb Se
2 1 1
direct
0.046 0.046 0.046
0.454 0.454 0.454
0.250 0.250 0.250
0.750 0.750 0.750
```

- Raw total energy: -4.7143 eV/atom
- Excess energy over the best structure of this formula in the dataset: 0.010 eV/atom

***

(4)
VASP calculation (PBE) on crystalline NiPbSe2 at its relaxed geometry.

Geometry as POSCAR:
```
NiPbSe2
1.0
4.039 0.000 0.000
0.000 6.950 0.026
0.000 4.582 3.300
Ni Pb Se
1 1 2
direct
0.500 0.500 0.500
0.000 0.000 0.500
0.000 0.000 0.000
0.500 0.500 0.000
```

- Raw total energy: -4.0725 eV/atom

***

(5)
VASP calculation (PBE) on crystalline NiPbSe2 at its relaxed geometry.

Geometry as POSCAR:
```
NiPbSe2
1.0
-0.697 -3.529 5.015
-0.964 -6.095 -0.089
3.654 4.364 -2.386
Ni Pb Se
1 1 2
direct
0.500 0.500 0.000
0.750 0.250 0.500
0.000 0.000 0.000
0.250 0.750 0.500
```

- Raw total energy: -3.7858 eV/atom

***

(6)
VASP calculation (PBE) on crystalline NiPbSe2 at its relaxed geometry.

Geometry as POSCAR:
```
NiPbSe2
1.0
3.537 0.000 0.000
0.000 3.537 0.000
0.000 0.000 7.642
Ni Pb Se
1 1 2
direct
0.000 0.000 0.312
0.500 0.500 0.804
0.000 0.000 0.004
0.500 0.500 0.379
```

- Raw total energy: -4.2035 eV/atom

***

(7)
VASP calculation (PBE) on crystalline Ni2PbSe at its relaxed geometry.

Geometry as POSCAR:
```
Ni2PbSe
1.0
-2.489 -1.694 -1.027
0.337 -1.987 2.461
-4.110 3.826 3.651
Ni Pb Se
2 1 1
direct
0.000 0.000 0.940
0.000 0.000 0.560
0.500 0.500 0.250
0.500 0.500 0.750
```

- Raw total energy: -4.5186 eV/atom
- Excess energy over the best structure of this formula in the dataset: 0.206 eV/atom

***

(8)
VASP calculation (PBE) on crystalline NiPbSe2 at its relaxed geometry.

Geometry as POSCAR:
```
NiPbSe2
1.0
7.531 0.006 0.002
5.893 4.689 -0.002
-6.643 -2.544 2.472
Ni Pb Se
1 1 2
direct
0.543 0.543 0.000
0.303 0.803 0.500
0.983 0.983 0.000
0.671 0.171 0.500
```

- Raw total energy: -4.1636 eV/atom

***

(9)
VASP calculation (PBE) on crystalline NiPbSe2 at its relaxed geometry.

Geometry as POSCAR:
```
NiPbSe2
1.0
4.880 -0.038 0.134
-1.849 4.516 0.134
1.413 2.088 4.196
Ni Pb Se
1 1 2
direct
0.500 0.000 0.500
0.000 0.500 0.500
0.000 0.000 0.000
0.500 0.500 0.000
```

- Raw total energy: -3.9646 eV/atom

***

(10)
VASP calculation (PBE) on crystalline NiPbSe2 at its relaxed geometry.

Geometry as POSCAR:
```
NiPbSe2
1.0
-5.666 -0.467 -2.322
2.308 -2.439 -5.142
-2.174 -6.687 -1.471
Pb Ni Se
2 2 4
direct
0.000 0.000 0.000
0.750 0.250 0.500
0.500 0.500 0.000
0.250 0.750 0.500
0.542 0.125 0.250
0.208 0.625 0.250
0.375 0.458 0.750
0.875 0.792 0.750
```

- Raw total energy: -4.3344 eV/atom

***

(11)
VASP calculation (PBE) on crystalline NiPbSe3 at its relaxed geometry.

Geometry as POSCAR:
```
NiPbSe3
1.0
5.434 0.000 0.000
0.000 5.434 0.000
0.000 0.000 5.434
Pb Ni Se
1 1 3
direct
0.000 0.000 0.000
0.500 0.500 0.500
0.000 0.500 0.000
0.000 0.000 0.500
0.500 0.000 0.000
```

- Raw total energy: -2.9213 eV/atom
- Excess energy over the best structure of this formula in the dataset: 1.095 eV/atom

***

(12)
VASP calculation (PBE) on crystalline Ni2PbSe at its relaxed geometry.

Geometry as POSCAR:
```
Ni2PbSe
1.0
0.000 3.219 3.219
3.219 0.000 3.219
3.219 3.219 0.000
Pb Ni Se
1 2 1
direct
0.500 0.500 0.500
0.250 0.250 0.250
0.750 0.750 0.750
0.000 0.000 0.000
```

- Raw total energy: -4.4369 eV/atom
- Excess energy over the best structure of this formula in the dataset: 0.287 eV/atom

***

Number 1: total magnetic moment 0.000 Bohr magnetons per cell, Fermi-level density of states 2.92 states/eV per cell. Number 2: total magnetic moment 0.000 Bohr magnetons per cell, Fermi-level density of states 4.00 states/eV per cell. Number 3: total magnetic moment 0.000 Bohr magnetons per cell, Fermi-level density of states 2.12 states/eV per cell. Number 4: total magnetic moment 0.415 Bohr magnetons per cell, Fermi-level density of states 3.20 states/eV per cell. Number 5: total magnetic moment 0.775 Bohr magnetons per cell, Fermi-level density of states 4.72 states/eV per cell. Number 6: total magnetic moment 0.000 Bohr magnetons per cell, Fermi-level density of states 3.52 states/eV per cell. Number 7: total magnetic moment 0.000 Bohr magnetons per cell, Fermi-level density of states 2.64 states/eV per cell. Number 8: total magnetic moment 0.000 Bohr magnetons per cell, Fermi-level density of states 3.58 states/eV per cell. Number 9: total magnetic moment 0.000 Bohr magnetons per cell, Fermi-level density of states 2.11 states/eV per cell. Number 10: total magnetic moment 0.001 Bohr magnetons per cell, Fermi-level density of states 13.49 states/eV per cell. Number 11: total magnetic moment 2.049 Bohr magnetons per cell, Fermi-level density of states 11.72 states/eV per cell. Number 12: total magnetic moment 0.000 Bohr magnetons per cell, Fermi-level density of states 1.35 states/eV per cell.